This record from the Alexandria database describes a relaxed structure of NaFeF2. The functional is PBE+U.

Properties
- D(E_F) (states/eV/cell) = 6.89
- space-group type = Fm-3m, No. 225
- final energy (eV for the cell shown) = -17.2
- energy above the lowest structure with this stoichiometry (eV/atom) = 0.209

Lattice parameters (Å, degrees): 4.0215 4.0215 4.0215 60.00 60.00 60.00
Site moments in Bohr magnetons follow the coordinates.
Atoms (fractional coordinates):
F 0.7500 0.7500 0.7500  0.02
F 0.2500 0.2500 0.2500  0.02
Fe 0.5000 0.5000 0.5000  2.91
Na 0.0000 0.0000 0.0000  0.00